Tc4IrRu: optimized geometry, PBE-GGA.

The structure in CIF format:
```
data_Tc4IrRu
_chemical_formula_sum 'Tc4 Ir1 Ru1'
_cell_length_a 5.0420
_cell_length_b 5.0420
_cell_length_c 5.0420
_cell_angle_alpha 60.00
_cell_angle_beta 60.00
_cell_angle_gamma 60.00
_symmetry_space_group_name_H-M 'P 1'
_symmetry_Int_Tables_number 1
loop_
_symmetry_equiv_pos_as_xyz
'x,y,z'
loop_
_atom_site_label
_atom_site_type_symbol
_atom_site_fract_x
_atom_site_fract_y
_atom_site_fract_z
_atom_site_occupancy
Tc1 Tc 0.1248 0.1248 0.1248 1
Tc2 Tc 0.1248 0.1248 0.6255 1
Tc3 Tc 0.1248 0.6255 0.1248 1
Tc4 Tc 0.6255 0.1248 0.1248 1
Ir1 Ir 0.7500 0.7500 0.7500 1
Ru1 Ru 0.5000 0.5000 0.5000 1
```

## Properties
E_form	0.347	eV/atom
magnetization	0.0	μB/f.u.
DFT total energy	-57.5	eV per cell
DOS at the Fermi energy	1.05	states/eV/atom